# CaPtCl2 | Alexandria via LeMat-Bulk | PBE | relaxed
# - Energy above the most stable polymorph in this dataset: 99 meV per atom
# - Total energy: -3.8963 eV per atom
# - Crystal system: orthorhombic
# - Formation energy without anion corrections: -962 meV/atom
# - Magnetization: 0.000 Bohr magnetons per cell
data_CaPtCl2
_cell_length_a 3.906
_cell_length_b 3.920
_cell_length_c 5.813
_cell_angle_alpha 90.00
_cell_angle_beta 90.00
_cell_angle_gamma 90.00
_symmetry_space_group_name_H-M 'P m m 2'
_symmetry_Int_Tables_number 25
_symmetry_space_group_name_Hall 'P 2 -2'
loop_
_atom_site_label
_atom_site_type_symbol
_atom_site_fract_x
_atom_site_fract_y
_atom_site_fract_z
Ca1 Ca 0.000 0.000 0.000
Pt1 Pt 0.500 0.500 0.773
Cl1 Cl 0.000 0.000 0.531
Cl2 Cl 0.500 0.500 0.164


# Ca2PtCl | Alexandria via LeMat-Bulk | PBE | relaxed
# - D(E_F): 4.36 states/eV/cell
# - Energy above the most stable polymorph in this dataset: 139 meV per atom
# - Total energy: -4.1628 eV per atom
# - Crystal system: orthorhombic
# - Formation energy without anion corrections: -1190 meV/atom
# - Magnetization: 0.000 Bohr magnetons per cell
data_Ca2PtCl
_cell_length_a 4.713
_cell_length_b 3.669
_cell_length_c 11.164
_cell_angle_alpha 90.00
_cell_angle_beta 90.00
_cell_angle_gamma 90.00
_symmetry_space_group_name_H-M 'A m m 2'
_symmetry_Int_Tables_number 38
_symmetry_space_group_name_Hall 'A 2 -2'
loop_
_atom_site_label
_atom_site_type_symbol
_atom_site_fract_x
_atom_site_fract_y
_atom_site_fract_z
Ca1 Ca 0.000 0.000 0.000
Ca2 Ca 0.500 0.000 0.252
Pt1 Pt 0.000 0.000 0.732
Cl1 Cl 0.500 0.000 0.499


# CaPtCl2 | Alexandria via LeMat-Bulk | PBE | relaxed
# - D(E_F): 2.63 states/eV/cell
# - Energy above the most stable polymorph in this dataset: 288 meV per atom
# - Total energy: -3.7074 eV per atom
# - Crystal system: tetragonal
# - Formation energy without anion corrections: -773 meV/atom
# - Magnetization: 0.000 Bohr magnetons per cell
data_CaPtCl2
_cell_length_a 4.582
_cell_length_b 4.582
_cell_length_c 3.775
_cell_angle_alpha 90.00
_cell_angle_beta 90.00
_cell_angle_gamma 90.00
_symmetry_space_group_name_H-M 'P 4/m m m'
_symmetry_Int_Tables_number 123
_symmetry_space_group_name_Hall '-P 4 2'
loop_
_atom_site_label
_atom_site_type_symbol
_atom_site_fract_x
_atom_site_fract_y
_atom_site_fract_z
Ca1 Ca 0.000 0.000 0.000
Pt1 Pt 0.500 0.500 0.000
Cl1 Cl 0.000 0.500 0.500


# CaPtCl2 | Alexandria via LeMat-Bulk | PBE | relaxed
# - D(E_F): 16.71 states/eV/cell
# - Energy above the most stable polymorph in this dataset: 366 meV per atom
# - Total energy: -3.6297 eV per atom
# - Crystal system: trigonal
# - Formation energy without anion corrections: -696 meV/atom
# - Magnetization: 3.234 Bohr magnetons per cell
data_CaPtCl2
_cell_length_a 3.6372
_cell_length_b 3.6372
_cell_length_c 31.5048
_cell_angle_alpha 90.00
_cell_angle_beta 90.00
_cell_angle_gamma 120.00
_symmetry_space_group_name_H-M 'R -3 m'
_symmetry_Int_Tables_number 166
_symmetry_space_group_name_Hall '-R 3 2"'
loop_
_atom_site_label
_atom_site_type_symbol
_atom_site_fract_x
_atom_site_fract_y
_atom_site_fract_z
Ca1 Ca 0.0000 0.0000 0.0000
Pt1 Pt 0.0000 0.0000 0.5000
Cl1 Cl 0.0000 0.0000 0.2812